Entry 1:
First-principles (PBE) data for a relaxed structure of Li3CaHg, as listed in Alexandria via LeMat-Bulk.

Lattice parameters (Å, degrees): 5.0808 5.0808 5.0808 90.00 90.00 90.00
With the nearest neighbours (Å) after each atom.
Positions (direct):
Li  0.0000  0.0000  0.5000  2 Hg 2.54
Li  0.0000  0.5000  0.0000  2 Hg 2.54
Li  0.5000  0.0000  0.0000  2 Hg 2.54
Ca  0.5000  0.5000  0.5000  12 Li 3.59
Hg  0.0000  0.0000  0.0000  6 Li 2.54

Values from the calculation:
Energy of formation, eV per atom: -0.08
DOS at the Fermi energy, states/eV/cell: 3.467
Total magnetic moment, μB/atom: 0.000
Symmetry: Pm-3m (221)
V, Å³/atom: 26.2
Energy above the lowest structure with this stoichiometry, eV/f.u.: 0.62



Entry 2:
First-principles (PBE) data for a relaxed structure of Li2CaHg8, as listed in Alexandria via LeMat-Bulk.

Lattice parameters (Å, degrees): 7.5992 7.5992 4.8869 96.28 96.28 105.82
With the nearest neighbours (Å) after each atom.
Positions (direct):
Li  0.1343  0.8657  0.0000  6 Hg 2.76-2.98
Li  0.8657  0.1343  0.0000  6 Hg 2.76-2.98
Ca  0.5000  0.5000  0.5000  12 Hg 3.13-3.41
Hg  0.1530  0.1530  0.4248  2 Li 2.81, 1 Hg 3.03, 1 Ca 3.13
Hg  0.1785  0.4563  0.9345  2 Li 2.98-3.20, 5 Hg 3.08-3.30
Hg  0.2402  0.7598  0.5000  2 Li 2.76
Hg  0.4563  0.1785  0.9345  2 Li 2.98-3.20, 5 Hg 3.08-3.30
Hg  0.5437  0.8215  0.0655  2 Li 2.98-3.20, 5 Hg 3.08-3.30
Hg  0.7598  0.2402  0.5000  2 Li 2.76
Hg  0.8215  0.5437  0.0655  2 Li 2.98-3.20, 5 Hg 3.08-3.30
Hg  0.8470  0.8470  0.5752  2 Li 2.81, 1 Hg 3.03, 1 Ca 3.13

Values from the calculation:
Energy of formation, eV per atom: -0.23
DOS at the Fermi energy, states/eV/cell: 4.198
Total magnetic moment, μB/atom: 0.000
Symmetry: C2/m (12)
V, Å³/atom: 24.3



Entry 3:
First-principles (PBE) data for a relaxed structure of Li10CaHg2, as listed in Alexandria via LeMat-Bulk.

Lattice parameters (Å, degrees): 9.8416 7.6546 7.4125 81.55 50.29 48.16
With the nearest neighbours (Å) after each atom.
Positions (direct):
Li  0.0000  0.5000  0.0000  10 Li 2.89-3.09
Li  0.0047  0.7839  0.2161  2 Hg 2.82, 5 Li 2.92-3.02
Li  0.1467  0.5116  0.4884  6 Li 2.91-3.19, 2 Hg 2.97
Li  0.2161  0.9953  0.0047  2 Hg 2.82, 5 Li 2.92-3.02
Li  0.4884  0.8533  0.1467  6 Li 2.91-3.19, 2 Hg 2.97
Li  0.5000  0.0000  0.5000  10 Li 2.89-3.09
Li  0.5116  0.1467  0.8533  6 Li 2.91-3.19, 2 Hg 2.97
Li  0.7839  0.0047  0.9953  2 Hg 2.82, 5 Li 2.92-3.02
Li  0.8533  0.4884  0.5116  6 Li 2.91-3.19, 2 Hg 2.97
Li  0.9953  0.2161  0.7839  2 Hg 2.82, 5 Li 2.92-3.02
Ca  0.5000  0.5000  0.5000  16 Li 3.47-3.83, 4 Hg 3.71
Hg  0.0000  0.0000  0.5000  8 Li 2.82-2.97, 2 Hg 2.89
Hg  0.5000  0.5000  0.0000  8 Li 2.82-2.97, 2 Hg 2.89

Values from the calculation:
Energy of formation, eV per atom: -0.12
DOS at the Fermi energy, states/eV/cell: 5.774
Total magnetic moment, μB/atom: 0.000
Symmetry: Fmmm (69)
V, Å³/atom: 21.5



Entry 4:
First-principles (PBE) data for a relaxed structure of Li2Ca2Hg, as listed in Alexandria via LeMat-Bulk.

Lattice parameters (Å, degrees): 8.3883 8.3883 4.4208 90.00 90.00 90.00
With the nearest neighbours (Å) after each atom.
Positions (direct):
Li  0.1368  0.3632  0.0000  1 Li 3.24, 6 Ca 3.27-3.34
Li  0.3632  0.8632  0.0000  1 Li 3.24, 6 Ca 3.27-3.34
Li  0.6368  0.1368  0.0000  1 Li 3.24, 6 Ca 3.27-3.34
Li  0.8632  0.6368  0.0000  1 Li 3.24, 6 Ca 3.27-3.34
Ca  0.1601  0.6601  0.5000  2 Hg 3.15, 6 Li 3.27-3.34
Ca  0.3399  0.1601  0.5000  2 Hg 3.15, 6 Li 3.27-3.34
Ca  0.6601  0.8399  0.5000  2 Hg 3.15, 6 Li 3.27-3.34
Ca  0.8399  0.3399  0.5000  2 Hg 3.15, 6 Li 3.27-3.34
Hg  0.0000  0.0000  0.5000  4 Ca 3.15
Hg  0.5000  0.5000  0.5000  4 Ca 3.15

Values from the calculation:
Energy of formation, eV per atom: 0.00
DOS at the Fermi energy, states/eV/cell: 10.443
Total magnetic moment, μB/atom: 0.000
Symmetry: P4/mbm (127)
V, Å³/atom: 31.1
Energy above the lowest structure with this stoichiometry, eV/f.u.: 1.09



Entry 5:
First-principles (PBE) data for a relaxed structure of LiCaHg4, as listed in Alexandria via LeMat-Bulk.

Lattice parameters (Å, degrees): 5.9782 5.9782 5.9782 60.00 60.00 60.00
With the nearest neighbours (Å) after each atom.
Positions (direct):
Li  0.0000  0.0000  0.0000  12 Hg 3.50, 4 Ca 3.66
Ca  0.7500  0.7500  0.7500  12 Hg 3.51, 4 Li 3.66
Hg  0.3746  0.3746  0.3746  6 Hg 2.98-3.00
Hg  0.3746  0.3746  0.8763  6 Hg 2.98-3.00
Hg  0.3746  0.8763  0.3746  6 Hg 2.98-3.00
Hg  0.8763  0.3746  0.3746  6 Hg 2.98-3.00

Values from the calculation:
Energy of formation, eV per atom: -0.20
DOS at the Fermi energy, states/eV/cell: 2.602
Total magnetic moment, μB/atom: 0.000
Symmetry: F-43m (216)
V, Å³/atom: 25.2
Energy above the lowest structure with this stoichiometry, eV/f.u.: 0.91



Entry 6:
First-principles (PBE) data for a relaxed structure of Li7Ca2Hg, as listed in Alexandria via LeMat-Bulk.

Lattice parameters (Å, degrees): 7.1599 7.1599 7.1599 60.00 60.00 60.00
With the nearest neighbours (Å) after each atom.
Positions (direct):
Li  0.0000  0.0000  0.0000  6 Li 2.51
Li  0.2478  0.2478  0.7522  1 Li 2.51, 1 Hg 2.55
Li  0.2478  0.7522  0.2478  1 Li 2.51, 1 Hg 2.55
Li  0.2478  0.7522  0.7522  1 Li 2.51, 1 Hg 2.55
Li  0.7522  0.2478  0.2478  1 Li 2.51, 1 Hg 2.55
Li  0.7522  0.2478  0.7522  1 Li 2.51, 1 Hg 2.55
Li  0.7522  0.7522  0.2478  1 Li 2.51, 1 Hg 2.55
Ca  0.2500  0.2500  0.2500  12 Li 3.58
Ca  0.7500  0.7500  0.7500  12 Li 3.58
Hg  0.5000  0.5000  0.5000  6 Li 2.55

Values from the calculation:
Energy of formation, eV per atom: 0.04
DOS at the Fermi energy, states/eV/cell: 7.584
Total magnetic moment, μB/atom: 0.000
Symmetry: Fm-3m (225)
V, Å³/atom: 26.0



Entry 7:
First-principles (PBE) data for a relaxed structure of Li6CaHg2, as listed in Alexandria via LeMat-Bulk.

Lattice parameters (Å, degrees): 4.1423 4.1423 11.3695 90.00 90.00 90.00
With the nearest neighbours (Å) after each atom.
Positions (direct):
Li  0.0000  0.0000  0.0000  12 Li 2.93-3.10
Li  0.0000  0.5000  0.2033  2 Hg 2.76, 4 Li 2.93
Li  0.0000  0.5000  0.7967  2 Hg 2.76, 4 Li 2.93
Li  0.5000  0.0000  0.2033  2 Hg 2.76, 4 Li 2.93
Li  0.5000  0.0000  0.7967  2 Hg 2.76, 4 Li 2.93
Li  0.5000  0.5000  0.0000  12 Li 2.93-3.10
Ca  0.0000  0.0000  0.5000  8 Hg 3.31
Hg  0.5000  0.5000  0.3644  4 Li 2.76, 1 Hg 3.08
Hg  0.5000  0.5000  0.6356  4 Li 2.76, 1 Hg 3.08

Values from the calculation:
Energy of formation, eV per atom: -0.21
DOS at the Fermi energy, states/eV/cell: 4.667
Total magnetic moment, μB/atom: 0.000
Symmetry: P4/mmm (123)
V, Å³/atom: 21.7



Entry 8:
First-principles (PBE) data for a relaxed structure of Li2Ca5Hg, as listed in Alexandria via LeMat-Bulk.

Lattice parameters (Å, degrees): 7.0672 13.5326 5.4700 90.00 90.00 90.00
With the nearest neighbours (Å) after each atom.
Positions (direct):
Li  0.1447  0.1372  0.0000  8 Ca 3.36-3.72
Li  0.3553  0.6372  0.0000  8 Ca 3.36-3.72
Li  0.6447  0.3628  0.0000  8 Ca 3.36-3.72
Li  0.8553  0.8628  0.0000  8 Ca 3.36-3.72
Ca  0.0000  0.0000  0.5000  4 Li 3.46, 2 Hg 3.53, 4 Ca 3.87
Ca  0.1297  0.7209  0.5000  1 Hg 3.13, 2 Li 3.36
Ca  0.1666  0.3972  0.0000  2 Hg 3.29, 3 Li 3.41-3.52, 1 Ca 3.65
Ca  0.3334  0.8972  0.0000  2 Hg 3.29, 3 Li 3.41-3.52, 1 Ca 3.65
Ca  0.3703  0.2209  0.5000  1 Hg 3.13, 2 Li 3.36
Ca  0.5000  0.5000  0.5000  4 Li 3.46, 2 Hg 3.53, 4 Ca 3.87
Ca  0.6297  0.7791  0.5000  1 Hg 3.13, 2 Li 3.36
Ca  0.6666  0.1028  0.0000  2 Hg 3.29, 3 Li 3.41-3.52, 1 Ca 3.65
Ca  0.8334  0.6028  0.0000  2 Hg 3.29, 3 Li 3.41-3.52, 1 Ca 3.65
Ca  0.8703  0.2791  0.5000  1 Hg 3.13, 2 Li 3.36
Hg  0.0000  0.5000  0.5000  6 Ca 3.13-3.29
Hg  0.5000  0.0000  0.5000  6 Ca 3.13-3.29

Values from the calculation:
Energy of formation, eV per atom: -0.12
DOS at the Fermi energy, states/eV/cell: 16.804
Total magnetic moment, μB/atom: 0.000
Symmetry: Pbam (55)
V, Å³/atom: 32.7



Entry 9:
First-principles (PBE) data for a relaxed structure of LiCaHg4, as listed in Alexandria via LeMat-Bulk.

Lattice parameters (Å, degrees): 9.6118 5.4597 5.4270 90.00 90.02 90.00
With the nearest neighbours (Å) after each atom.
Positions (direct):
Li  0.0000  0.0000  0.0000  10 Hg 3.11-3.19
Li  0.5000  0.5000  0.0000  10 Hg 3.11-3.19
Ca  0.0000  0.5000  0.5000  10 Hg 3.14-3.25
Ca  0.5000  0.0000  0.5000  10 Hg 3.14-3.25
Hg  0.1620  0.0000  0.4971  2 Li 3.11-3.14, 5 Hg 3.12-3.21, 3 Ca 3.14-3.25
Hg  0.1714  0.5000  0.0010  5 Hg 3.12-3.29, 3 Li 3.16-3.19, 2 Ca 3.17-3.18
Hg  0.3286  0.0000  0.9990  5 Hg 3.12-3.29, 3 Li 3.16-3.19, 2 Ca 3.17-3.18
Hg  0.3380  0.5000  0.5029  2 Li 3.11-3.14, 5 Hg 3.12-3.21, 3 Ca 3.14-3.25
Hg  0.6620  0.5000  0.4971  2 Li 3.11-3.14, 5 Hg 3.12-3.21, 3 Ca 3.14-3.25
Hg  0.6714  0.0000  0.0010  5 Hg 3.12-3.29, 3 Li 3.16-3.19, 2 Ca 3.17-3.18
Hg  0.8286  0.5000  0.9990  5 Hg 3.12-3.29, 3 Li 3.16-3.19, 2 Ca 3.17-3.18
Hg  0.8380  0.0000  0.5029  2 Li 3.11-3.14, 5 Hg 3.12-3.21, 3 Ca 3.14-3.25

Values from the calculation:
Energy of formation, eV per atom: -0.35
DOS at the Fermi energy, states/eV/cell: 3.171
Total magnetic moment, μB/atom: 0.000
Symmetry: C2/m (12)
V, Å³/atom: 23.7
Energy above the lowest structure with this stoichiometry, eV/f.u.: 0.00



Entry 10:
First-principles (PBE) data for a relaxed structure of Li6Ca3Hg20, as listed in Alexandria via LeMat-Bulk.

Lattice parameters (Å, degrees): 9.8296 9.8296 9.8296 60.00 60.00 60.00
With the nearest neighbours (Å) after each atom.
Positions (direct):
Li  0.2280  0.2280  0.7720  8 Hg 2.76-2.77
Li  0.2280  0.7720  0.2280  8 Hg 2.76-2.77
Li  0.2280  0.7720  0.7720  8 Hg 2.76-2.77
Li  0.7720  0.2280  0.2280  8 Hg 2.76-2.77
Li  0.7720  0.2280  0.7720  8 Hg 2.76-2.77
Li  0.7720  0.7720  0.2280  8 Hg 2.76-2.77
Ca  0.2500  0.2500  0.2500  4 Hg 3.19
Ca  0.5000  0.5000  0.5000  12 Hg 3.37
Ca  0.7500  0.7500  0.7500  4 Hg 3.19
Hg  0.1173  0.1173  0.1173  3 Li 2.77
Hg  0.1173  0.1173  0.6480  3 Li 2.77
Hg  0.1173  0.6480  0.1173  3 Li 2.77
Hg  0.1572  0.5000  0.5000  2 Li 2.76, 1 Hg 3.09
Hg  0.1572  0.5000  0.8428  2 Li 2.76, 1 Hg 3.09
Hg  0.1572  0.8428  0.5000  2 Li 2.76, 1 Hg 3.09
Hg  0.3520  0.8827  0.8827  3 Li 2.77
Hg  0.5000  0.1572  0.5000  2 Li 2.76, 1 Hg 3.09
Hg  0.5000  0.1572  0.8428  2 Li 2.76, 1 Hg 3.09
Hg  0.5000  0.5000  0.1572  2 Li 2.76, 1 Hg 3.09
Hg  0.5000  0.5000  0.8428  2 Li 2.76, 1 Hg 3.09
Hg  0.5000  0.8428  0.1572  2 Li 2.76, 1 Hg 3.09
Hg  0.5000  0.8428  0.5000  2 Li 2.76, 1 Hg 3.09
Hg  0.6480  0.1173  0.1173  3 Li 2.77
Hg  0.8428  0.1572  0.5000  2 Li 2.76, 1 Hg 3.09
Hg  0.8428  0.5000  0.1572  2 Li 2.76, 1 Hg 3.09
Hg  0.8428  0.5000  0.5000  2 Li 2.76, 1 Hg 3.09
Hg  0.8827  0.3520  0.8827  3 Li 2.77
Hg  0.8827  0.8827  0.3520  3 Li 2.77
Hg  0.8827  0.8827  0.8827  3 Li 2.77

Values from the calculation:
Energy of formation, eV per atom: -0.24
DOS at the Fermi energy, states/eV/cell: 11.240
Total magnetic moment, μB/atom: 0.000
Symmetry: Fm-3m (225)
V, Å³/atom: 23.2



Entry 11:
First-principles (PBE) data for a relaxed structure of Li3CaHg4, as listed in Alexandria via LeMat-Bulk.

Lattice parameters (Å, degrees): 9.7994 7.0957 4.9001 90.00 90.00 90.00
With the nearest neighbours (Å) after each atom.
Positions (direct):
Li  0.0000  0.0000  0.0000  8 Hg 2.91
Li  0.2500  0.0000  0.4987  8 Hg 2.91
Li  0.2500  0.5000  0.4996  8 Hg 3.15, 4 Ca 3.46-3.47
Li  0.5000  0.0000  0.0000  8 Hg 2.91
Li  0.7500  0.0000  0.5013  8 Hg 2.91
Li  0.7500  0.5000  0.5004  8 Hg 3.15, 4 Ca 3.46-3.47
Ca  0.0000  0.5000  0.0000  8 Hg 3.15, 4 Li 3.46-3.47
Ca  0.5000  0.5000  0.0000  8 Hg 3.15, 4 Li 3.46-3.47
Hg  0.0000  0.2215  0.5000  6 Li 2.91-3.15, 1 Hg 3.14, 2 Ca 3.15
Hg  0.0000  0.7785  0.5000  6 Li 2.91-3.15, 1 Hg 3.14, 2 Ca 3.15
Hg  0.2500  0.2214  0.9989  6 Li 2.91-3.15, 1 Hg 3.14, 2 Ca 3.15
Hg  0.2500  0.7786  0.9989  6 Li 2.91-3.15, 1 Hg 3.14, 2 Ca 3.15
Hg  0.5000  0.2215  0.5000  6 Li 2.91-3.15, 1 Hg 3.14, 2 Ca 3.15
Hg  0.5000  0.7785  0.5000  6 Li 2.91-3.15, 1 Hg 3.14, 2 Ca 3.15
Hg  0.7500  0.2214  0.0011  6 Li 2.91-3.15, 1 Hg 3.14, 2 Ca 3.15
Hg  0.7500  0.7786  0.0011  6 Li 2.91-3.15, 1 Hg 3.14, 2 Ca 3.15

Values from the calculation:
Energy of formation, eV per atom: -0.39
DOS at the Fermi energy, states/eV/cell: 6.334
Total magnetic moment, μB/atom: 0.000
Symmetry: Pmma (51)
V, Å³/atom: 21.3



Entry 12:
First-principles (PBE) data for a relaxed structure of Li10CaHg3, as listed in Alexandria via LeMat-Bulk.

Lattice parameters (Å, degrees): 9.6943 9.6943 9.6943 60.00 60.00 60.00
With the nearest neighbours (Å) after each atom.
Positions (direct):
Li  0.0000  0.0000  0.3478  2 Hg 2.71, 1 Li 2.95
Li  0.0000  0.0000  0.6522  2 Hg 2.71, 1 Li 2.95
Li  0.0000  0.3478  0.0000  2 Hg 2.71, 1 Li 2.95
Li  0.0000  0.3478  0.6522  2 Hg 2.71, 1 Li 2.95
Li  0.0000  0.6522  0.0000  2 Hg 2.71, 1 Li 2.95
Li  0.0000  0.6522  0.3478  2 Hg 2.71, 1 Li 2.95
Li  0.1628  0.6124  0.6124  3 Hg 2.73
Li  0.3478  0.0000  0.0000  2 Hg 2.71, 1 Li 2.95
Li  0.3478  0.0000  0.6522  2 Hg 2.71, 1 Li 2.95
Li  0.3478  0.6522  0.0000  2 Hg 2.71, 1 Li 2.95
Li  0.3876  0.3876  0.3876  3 Hg 2.73
Li  0.3876  0.3876  0.8372  3 Hg 2.73
Li  0.3876  0.8372  0.3876  3 Hg 2.73
Li  0.6124  0.1628  0.6124  3 Hg 2.73
Li  0.6124  0.6124  0.1628  3 Hg 2.73
Li  0.6124  0.6124  0.6124  3 Hg 2.73
Li  0.6522  0.0000  0.0000  2 Hg 2.71, 1 Li 2.95
Li  0.6522  0.0000  0.3478  2 Hg 2.71, 1 Li 2.95
Li  0.6522  0.3478  0.0000  2 Hg 2.71, 1 Li 2.95
Li  0.8372  0.3876  0.3876  3 Hg 2.73
Ca  0.2500  0.2500  0.2500  4 Li 3.27
Ca  0.7500  0.7500  0.7500  4 Li 3.27
Hg  0.2677  0.2677  0.7323  8 Li 2.71-2.73
Hg  0.2677  0.7323  0.2677  8 Li 2.71-2.73
Hg  0.2677  0.7323  0.7323  8 Li 2.71-2.73
Hg  0.7323  0.2677  0.2677  8 Li 2.71-2.73
Hg  0.7323  0.2677  0.7323  8 Li 2.71-2.73
Hg  0.7323  0.7323  0.2677  8 Li 2.71-2.73

Values from the calculation:
Energy of formation, eV per atom: -0.13
DOS at the Fermi energy, states/eV/cell: 9.917
Total magnetic moment, μB/atom: 0.000
Symmetry: Fm-3m (225)
V, Å³/atom: 23.0